Entry i
DFT (GGA-PBE) results for crystalline In2Co2P at its relaxed geometry.

The density of states at the Fermi level is 7.51 states/eV/cell.

a b c (Å): 3.3734 3.3734 15.4661
angles (deg): 90.00 90.00 90.00
With the nearest neighbours (Å) after each atom.
Space group I4/mmm (No. 139)
Asymmetric unit:
1 In 0.0000 0.0000 0.1072 x4  4 Co 2.78, 4 P 2.91
2 Co 0.0000 0.5000 0.2500 x4  4 Co 2.39
3 P 0.0000 0.0000 0.5000 x2  8 In 2.91

Entry ii
DFT (GGA-PBE) results for crystalline In2Co2P at its relaxed geometry.

The density of states at the Fermi level is 13.00 states/eV/cell.

a b c (Å): 7.8581 7.8581 2.8061
angles (deg): 90.00 90.00 90.00
With the nearest neighbours (Å) after each atom.
Space group P4/mbm (No. 127)
Asymmetric unit:
1 In 0.1877 0.3123 0.0000 x4  6 Co 2.72-2.76, 2 In 2.81, 2 P 2.86
2 Co 0.1023 0.6023 0.5000 x4  1 Co 2.27
3 P 0.0000 0.0000 0.0000 x2  2 P 2.81, 4 In 2.86

Entry iii
DFT (GGA-PBE) results for crystalline In2Co2P at its relaxed geometry.

The density of states at the Fermi level is 9.91 states/eV/cell.

a b c (Å): 6.0714 6.0714 4.2140
angles (deg): 90.00 90.00 90.00
With the nearest neighbours (Å) after each atom.
Space group P4/mbm (No. 127)
Asymmetric unit:
1 In 0.1615 0.3385 0.0000 x4  6 Co 2.59-2.88, 1 In 2.77
2 Co 0.1629 0.6629 0.5000 x4  2 P 2.27
3 P 0.0000 0.0000 0.5000 x2  4 Co 2.27

Tell me which of them is the least stable. Sure, it is entry ii.

Entry i
DFT (GGA-PBE) results for crystalline InCoP2S at its relaxed geometry.

The density of states at the Fermi level is 4.97 states/eV/cell.

a b c (Å): 4.9943 4.9943 5.0100
angles (deg): 90.00 90.00 90.00
With the nearest neighbours (Å) after each atom.
Space group P4/mmm (No. 123)
Asymmetric unit:
1 In 0.0000 0.0000 0.0000 x1  4 P 2.50, 2 S 2.50
2 Co 0.5000 0.5000 0.5000 x1  4 S 3.53, 8 P 3.54
3 P 0.0000 0.5000 0.0000 x2  2 In 2.50
4 S 0.0000 0.0000 0.5000 x1  2 In 2.50

Entry ii
DFT (GGA-PBE) results for crystalline InCoP2S at its relaxed geometry.

The density of states at the Fermi level is 5.28 states/eV/cell.

a b c (Å): 4.2302 4.2302 5.1721
angles (deg): 90.00 90.00 90.00
With the nearest neighbours (Å) after each atom.
Space group P4/mmm (No. 123)
Asymmetric unit:
1 In 0.0000 0.0000 0.0000 x1  4 S 2.99, 8 P 3.34
2 Co 0.5000 0.5000 0.5000 x1  4 P 2.12
3 P 0.0000 0.5000 0.5000 x2  2 Co 2.12
4 S 0.5000 0.5000 0.0000 x1  2 Co 2.59

Tell me which of them is the least stable. Sure, it is entry i.

Entry i
DFT (GGA-PBE) results for crystalline InCo3Pb at its relaxed geometry.

The density of states at the Fermi level is 15.26 states/eV/cell.

a b c (Å): 4.8116 4.8116 4.8116
angles (deg): 90.00 90.00 90.00
With the nearest neighbours (Å) after each atom.
Space group Pm-3m (No. 221)
Asymmetric unit:
1 In 0.0000 0.0000 0.0000 x1  12 Co 3.40
2 Co 0.0000 0.5000 0.5000 x3  2 Pb 2.41
3 Pb 0.5000 0.5000 0.5000 x1  6 Co 2.41

Entry ii
DFT (GGA-PBE) results for crystalline InCo3Pb at its relaxed geometry.

The density of states at the Fermi level is 14.16 states/eV/cell.

a b c (Å): 4.7546 4.7546 4.7546
angles (deg): 90.00 90.00 90.00
With the nearest neighbours (Å) after each atom.
Space group Pm-3m (No. 221)
Asymmetric unit:
1 In 0.0000 0.0000 0.0000 x1  6 Co 2.38
2 Co 0.0000 0.0000 0.5000 x3  2 In 2.38
3 Pb 0.5000 0.5000 0.5000 x1  12 Co 3.36

Tell me which of them is the least stable. Sure, it is entry i.